First-principles (PBE) data for a geometry-optimized Li2HfScTl2Pd2 structure, as listed in OQMD.

Unit cell a=4.6570 b=4.6570 c=6.5679 alpha=90.00 beta=90.00 gamma=90.00
Closest atoms and distances in Å follow each position.
Atoms (fractional coordinates):
Tl: 0.0000 0.0000 0.5000  4 Li 2.84, 4 Pd 2.88
Li: 0.0000 0.5000 0.7474  4 Tl 2.84-2.86, 2 Sc 2.84, 2 Hf 2.86
Hf: 0.0000 0.0000 0.0000  4 Pd 2.82, 4 Li 2.86
Pd: 0.5000 0.0000 0.7578  2 Hf 2.82, 4 Tl 2.82-2.88, 2 Sc 2.88
Li: 0.5000 0.0000 0.2526  4 Tl 2.84-2.86, 2 Sc 2.84, 2 Hf 2.86
Sc: 0.5000 0.5000 0.5000  4 Li 2.84, 4 Pd 2.88
Pd: 0.0000 0.5000 0.2422  2 Hf 2.82, 4 Tl 2.82-2.88, 2 Sc 2.88
Tl: 0.5000 0.5000 0.0000  4 Pd 2.82, 4 Li 2.86

Space group = P-4m2 (115)

=====

First-principles (PBE) data for a geometry-optimized LiHfPdSe3 structure, as listed in OQMD.

Unit cell a=7.1367 b=7.1367 c=10.0034 alpha=90.00 beta=90.00 gamma=150.25
Closest atoms and distances in Å follow each position.
Atoms (fractional coordinates):
Hf: 0.0000 0.0000 0.0000  6 Se 2.71-2.85
Se: 0.0986 0.9015 0.2500  2 Pd 2.50
Se: 0.3604 0.6396 0.0525  1 Pd 2.53, 2 Hf 2.71, 2 Li 2.79
Pd: 0.5247 0.4753 0.7500  4 Se 2.50-2.53
Li: 0.1918 0.8082 0.7500  4 Se 2.79, 2 Pd 2.94
Se: 0.9015 0.0986 0.7500  2 Pd 2.50
Se: 0.6396 0.3604 0.5525  1 Pd 2.53, 2 Hf 2.71, 2 Li 2.79
Pd: 0.4753 0.5247 0.2500  4 Se 2.50-2.53
Li: 0.8082 0.1918 0.2500  4 Se 2.79, 2 Pd 2.94
Hf: 0.0000 0.0000 0.5000  6 Se 2.71-2.85
Se: 0.6396 0.3604 0.9475  1 Pd 2.53, 2 Hf 2.71, 2 Li 2.79
Se: 0.3604 0.6396 0.4475  1 Pd 2.53, 2 Hf 2.71, 2 Li 2.79

Space group = Cmcm (63)

=====

First-principles (PBE) data for a geometry-optimized Li2HfZrSn2Pd2 structure, as listed in OQMD.

Unit cell a=4.6058 b=4.6058 c=6.6190 alpha=90.00 beta=90.00 gamma=90.00
Closest atoms and distances in Å follow each position.
Atoms (fractional coordinates):
Hf: 0.0000 0.0000 0.0000  4 Pd 2.78, 4 Li 2.82
Sn: 0.5000 0.5000 0.0000  4 Pd 2.78, 4 Li 2.82
Pd: 0.5000 0.0000 0.7660  4 Sn 2.78-2.90, 2 Hf 2.78, 2 Zr 2.90
Pd: 0.0000 0.5000 0.2340  4 Sn 2.78-2.90, 2 Hf 2.78, 2 Zr 2.90
Li: 0.0000 0.5000 0.7531  4 Sn 2.82-2.85, 2 Hf 2.82, 2 Zr 2.85
Sn: 0.0000 0.0000 0.5000  4 Li 2.85, 4 Pd 2.90
Li: 0.5000 0.0000 0.2469  4 Sn 2.82-2.85, 2 Hf 2.82, 2 Zr 2.85
Zr: 0.5000 0.5000 0.5000  4 Li 2.85, 4 Pd 2.90

Space group = P-4m2 (115)

=====

First-principles (PBE) data for a geometry-optimized LiYHfPd structure, as listed in OQMD.

Unit cell a=4.7441 b=4.7441 c=4.7441 alpha=60.00 beta=60.00 gamma=60.00
Closest atoms and distances in Å follow each position.
Atoms (fractional coordinates):
Y: 0.0000 0.0000 0.0000  4 Hf 2.91, 4 Li 2.91
Pd: 0.5000 0.5000 0.5000  4 Li 2.91, 4 Hf 2.91
Hf: 0.2500 0.2500 0.2500  4 Y 2.91, 4 Pd 2.91
Li: 0.7500 0.7500 0.7500  4 Pd 2.91, 4 Y 2.91

Offset from the most stable computed form = 0.61 eV/f.u.
Space group = F-43m (216)

=====

Number 1: energy -38.53 eV/f.u., mass density 10.0 g/cm³. Number 2: energy -33.35 eV/f.u., mass density 6.9 g/cm³. Number 3: energy -44.75 eV/f.u., mass density 8.7 g/cm³. Number 4: energy -23.72 eV/f.u., mass density 8.4 g/cm³.